GdAlO3 | SCAN | single point on PBEsol structure

Density in g/cm³: 7.48
Symmetry: No. 62
Energy relative to the elements, uncorrected in eV/atom: -3.613
Total moment in μB/atom: 1.3943
Uncorrected energy in eV/atom: -20.665

a = 5.307 Å, b = 7.429 Å, c = 5.231 Å
α = 90.00°, β = 90.00°, γ = 90.00°
Fractional coordinates of all 20 atoms:
Gd 0.043 0.250 0.010
Gd 0.457 0.750 0.510
Gd 0.543 0.250 0.490
Gd 0.957 0.750 0.990
Al 0.000 0.000 0.500
Al 0.000 0.500 0.500
Al 0.500 0.000 0.000
Al 0.500 0.500 0.000
O 0.017 0.750 0.423
O 0.213 0.541 0.787
O 0.213 0.959 0.787
O 0.287 0.041 0.287
O 0.287 0.459 0.287
O 0.483 0.250 0.923
O 0.517 0.750 0.077
O 0.713 0.541 0.713
O 0.713 0.959 0.713
O 0.787 0.041 0.213
O 0.787 0.459 0.213
O 0.983 0.250 0.577

***

GdAl3Pd2 | SCAN | single point on PBEsol structure

Density in g/cm³: 7.20
Energy of formation in meV/atom: -116
Symmetry: No. 191
Total moment in μB/atom: 0.5388
Uncorrected energy in eV/atom: -24.719

a = 5.367 Å, b = 5.367 Å, c = 4.168 Å
α = 90.00°, β = 90.00°, γ = 120.00°
Fractional coordinates of all 6 atoms:
Gd 0.000 0.000 0.000
Al 0.000 0.500 0.500
Al 0.500 0.000 0.500
Al 0.500 0.500 0.500
Pd 0.333 0.667 0.000
Pd 0.667 0.333 0.000

***

GdAlPd | SCAN | single point on PBEsol structure

Density in g/cm³: 8.23
Energy of formation in meV/atom: -926
Symmetry: No. 189
Total moment in μB/atom: 2.4804
Uncorrected energy in eV/atom: -34.040

a = 7.032 Å, b = 7.032 Å, c = 4.109 Å
α = 90.00°, β = 90.00°, γ = 120.00°
Fractional coordinates of all 9 atoms:
Gd 0.000 0.582 0.000
Gd 0.418 0.418 0.000
Gd 0.582 0.000 0.000
Al 0.000 0.235 0.500
Al 0.235 0.000 0.500
Al 0.765 0.765 0.500
Pd 0.000 0.000 0.000
Pd 0.333 0.667 0.500
Pd 0.667 0.333 0.500

***

GdAlRh | SCAN | single point on PBEsol structure

Density in g/cm³: 8.46
Energy of formation in meV/atom: -984
Symmetry: No. 62
Total moment in μB/atom: 2.4358
Uncorrected energy in eV/atom: -34.431

a = 6.862 Å, b = 4.139 Å, c = 7.935 Å
α = 90.00°, β = 90.00°, γ = 90.00°
Fractional coordinates of all 12 atoms:
Gd 0.038 0.250 0.180
Gd 0.462 0.750 0.680
Gd 0.538 0.250 0.320
Gd 0.962 0.750 0.820
Al 0.135 0.250 0.561
Al 0.365 0.750 0.061
Al 0.635 0.250 0.939
Al 0.865 0.750 0.439
Rh 0.235 0.750 0.380
Rh 0.265 0.250 0.880
Rh 0.735 0.750 0.120
Rh 0.765 0.250 0.620

***

Gd2Al9Rh3 | SCAN | single point on PBEsol structure

Density in g/cm³: 6.25
Energy of formation in meV/atom: -944
Symmetry: No. 63
Total moment in μB/atom: 1.0427
Uncorrected energy in eV/atom: -21.567

a = 7.490 Å, b = 7.490 Å, c = 9.404 Å
α = 90.00°, β = 90.00°, γ = 60.67°
Fractional coordinates of all 28 atoms:
Gd 0.005 0.672 0.750
Gd 0.328 0.995 0.750
Gd 0.672 0.005 0.250
Gd 0.995 0.328 0.250
Al 0.001 0.664 0.075
Al 0.001 0.664 0.425
Al 0.128 0.872 0.250
Al 0.333 0.667 0.549
Al 0.333 0.667 0.951
Al 0.336 0.999 0.075
Al 0.336 0.999 0.425
Al 0.340 0.449 0.250
Al 0.449 0.340 0.750
Al 0.551 0.660 0.250
Al 0.660 0.551 0.750
Al 0.664 0.001 0.575
Al 0.664 0.001 0.925
Al 0.667 0.333 0.049
Al 0.667 0.333 0.451
Al 0.872 0.128 0.750
Al 0.999 0.336 0.575
Al 0.999 0.336 0.925
Rh 0.000 0.000 0.000
Rh 0.000 0.000 0.500
Rh 0.328 0.328 0.000
Rh 0.328 0.328 0.500
Rh 0.672 0.672 0.000
Rh 0.672 0.672 0.500

***

GdAl10Ru2 | SCAN | single point on PBEsol structure

Density in g/cm³: 5.00
Energy of formation in meV/atom: -596
Symmetry: No. 63
Total moment in μB/atom: 0.5665
Uncorrected energy in eV/atom: -16.441

a = 6.809 Å, b = 6.809 Å, c = 9.079 Å
α = 90.00°, β = 90.00°, γ = 96.91°
Fractional coordinates of all 26 atoms:
Gd 0.126 0.874 0.750
Gd 0.874 0.126 0.250
Al 0.141 0.413 0.750
Al 0.157 0.843 0.100
Al 0.157 0.843 0.400
Al 0.219 0.480 0.250
Al 0.225 0.225 0.000
Al 0.225 0.225 0.500
Al 0.376 0.624 0.550
Al 0.376 0.624 0.950
Al 0.413 0.141 0.250
Al 0.480 0.219 0.750
Al 0.520 0.781 0.250
Al 0.587 0.859 0.750
Al 0.624 0.376 0.050
Al 0.624 0.376 0.450
Al 0.775 0.775 0.000
Al 0.775 0.775 0.500
Al 0.781 0.520 0.750
Al 0.843 0.157 0.600
Al 0.843 0.157 0.900
Al 0.859 0.587 0.250
Ru 0.000 0.500 0.000
Ru 0.000 0.500 0.500
Ru 0.500 0.000 0.000
Ru 0.500 0.000 0.500

***

Gd3AlVS7 | SCAN | single point on PBEsol structure

Density in g/cm³: 5.40
Symmetry: No. 173
Energy relative to the elements, uncorrected in eV/atom: -1.936
Total moment in μB/atom: 2.0009
Uncorrected energy in eV/atom: -24.359

a = 9.547 Å, b = 9.547 Å, c = 6.033 Å
α = 90.00°, β = 90.00°, γ = 120.00°
Fractional coordinates of all 24 atoms:
Gd 0.157 0.377 0.000
Gd 0.220 0.843 0.000
Gd 0.377 0.220 0.500
Gd 0.623 0.780 0.000
Gd 0.780 0.157 0.500
Gd 0.843 0.623 0.500
Al 0.333 0.667 0.423
Al 0.667 0.333 0.923
V 0.000 0.000 0.331
V 0.000 0.000 0.831
S 0.087 0.566 0.274
S 0.100 0.232 0.583
S 0.133 0.900 0.583
S 0.232 0.133 0.083
S 0.333 0.667 0.790
S 0.434 0.521 0.274
S 0.479 0.913 0.274
S 0.521 0.087 0.774
S 0.566 0.479 0.774
S 0.667 0.333 0.290
S 0.768 0.867 0.583
S 0.867 0.100 0.083
S 0.900 0.768 0.083
S 0.913 0.434 0.774

***

TbGdAl6 | SCAN | single point on PBEsol structure

Density in g/cm³: 5.16
Energy of formation in meV/atom: -451
Symmetry: No. 187
Total moment in μB/atom: 0.9000
Uncorrected energy in eV/atom: -19.462

a = 6.212 Å, b = 6.212 Å, c = 4.607 Å
α = 90.00°, β = 90.00°, γ = 120.00°
Fractional coordinates of all 8 atoms:
Tb 0.000 0.000 0.000
Gd 0.667 0.333 0.500
Al 0.037 0.518 0.000
Al 0.185 0.370 0.500
Al 0.185 0.815 0.500
Al 0.482 0.518 0.000
Al 0.482 0.963 0.000
Al 0.630 0.815 0.500